[1]
The following is a DFT calculation (PBE) of crystalline Al2TlRu at its relaxed geometry.

Results
The calculation puts the energy of formation from the pure elements at 379 meV/atom. The space group is F-43m, No. 216. The relative energy among the computed polymorphs comes out at 616 meV/atom. Its magnetization is 0.00 μB per atom.

Structure (POSCAR):
```
Al2TlRu
1.0
4.6107 0.0000 0.0000
2.3053 3.9930 0.0000
2.3053 1.3310 3.7646
Al Tl Ru
2 1 1
Cartesian
2.3053 1.3310 0.9412
0.0000 0.0000 0.0000
6.9160 3.9930 2.8235
4.6107 2.6620 1.8823
```

=====

[2]
The following is a DFT calculation (PBE) of crystalline Rb3Pa2AlAs6 at its relaxed geometry.

Results
The calculation puts the energy of formation from the pure elements at -481 meV/atom. The space group is C2/m, No. 12. Its magnetization is 0.09 μB per atom.

Structure (POSCAR):
```
Rb3Pa2AlAs6
1.0
-2.8823 1.4725 6.8767
2.6697 -6.6802 -2.4522
7.3164 4.3198 0.5792
Rb Pa Al As
3 2 1 6
Cartesian
1.7401 2.2165 5.5462
5.3637 -3.1044 -0.5425
3.5519 -0.4440 2.5018
0.7463 -3.8559 0.7795
-0.9590 -1.3518 3.6450
0.0000 0.0000 0.0000
6.9020 -1.8942 2.5764
5.1111 0.7356 5.5856
1.3052 -2.9764 3.3780
1.9927 -1.6235 -0.5819
0.2018 1.0063 2.4273
5.7986 2.0885 1.6257
```